The following is a PBE-GGA calculation of a geometry-optimized Sc2RhSe structure, from Alexandria via LeMat-Bulk.

a b c (Å): 4.6978 4.6978 4.6978
angles (deg): 60.00 60.00 60.00
Each line ends with the local moment (μB).
Fractional coordinates of all 4 atoms:
Se 0.0000 0.0000 0.0000  0.02
Rh 0.5000 0.5000 0.5000  -0.03
Sc 0.7500 0.7500 0.7500  0.28
Sc 0.2500 0.2500 0.2500  0.28

N(E_F)	5.0	states/eV/f.u.
uncorrected formation energy	-0.835	eV per atom
SG	Fm-3m (225)
raw total energy	-26.839	eV for the cell shown
E above lowest polymorph	0.283	eV per atom